No. 1
A relaxed structure of CdOsAu, computed with PBE-GGA.

abc: 7.8046 7.5515 2.8319
angles: 84.45 74.37 21.17
Closest atoms and distances in Å follow each position.
Atoms (fractional coordinates):
Cd1 0.0000 0.0000 0.0000  2 Os 2.83, 6 Cd 2.83-2.88, 2 Au 2.92
Os1 0.6640 0.6640 0.3360  2 Cd 2.83, 2 Au 2.83, 6 Os 2.83-2.88
Au1 0.3284 0.3284 0.6716  2 Os 2.83, 6 Au 2.83-2.88, 2 Cd 2.92

Results
E_tot: -4.61 eV/atom
excess energy over the best structure of this formula in the dataset: 58 meV per atom

=====

No. 2
A relaxed structure of KAuN2, computed with PBE-GGA.

abc: 4.2841 4.2841 4.2841
angles: 60.00 60.00 60.00
Closest atoms and distances in Å follow each position.
Atoms (fractional coordinates):
K1 0.0000 0.0000 0.0000  8 N 2.62
Au1 0.5000 0.5000 0.5000  8 N 2.62
N1 0.2500 0.2500 0.2500  4 K 2.62, 4 Au 2.62
N2 0.7500 0.7500 0.7500  4 K 2.62, 4 Au 2.62

Results
energy relative to the elements, uncorrected: 1.91 eV per atom
E_tot: -3.35 eV/atom
excess energy over the best structure of this formula in the dataset: 2022 meV per atom

=====

No. 3
A relaxed structure of MgZr2Cl, computed with PBE-GGA.

abc: 6.1595 6.1595 3.1435
angles: 104.76 104.76 120.08
Closest atoms and distances in Å follow each position.
Atoms (fractional coordinates):
Mg1 0.0000 0.0000 0.0000  4 Cl 3.08, 4 Zr 3.08, 2 Mg 3.14
Zr1 0.0000 0.5000 0.0000  6 Zr 3.08-3.14, 2 Cl 3.08, 2 Mg 3.08
Zr2 0.5000 0.0000 0.0000  6 Zr 3.08-3.14, 2 Cl 3.08, 2 Mg 3.08
Cl1 0.5000 0.5000 0.0000  4 Mg 3.08, 4 Zr 3.08, 2 Cl 3.14

Results
energy relative to the elements, uncorrected: -0.04 eV per atom
E_tot: -5.17 eV/atom
excess energy over the best structure of this formula in the dataset: 448 meV per atom